Entry 1:
First-principles (PBE) data for a relaxed structure of ScAg2W, as listed in Alexandria.

## Properties
* relative energy among the computed polymorphs: 367 meV per atom
* calculated formation energy: 0.56 eV/atom

Lattice parameters (Å, degrees): 6.6522 6.6522 6.6522 90.00 90.00 90.00
With the nearest neighbours (Å) after each atom.
Space group F-43m (No. 216)
Asymmetric unit:
Sc1 0.0000 0.0000 0.0000 (multiplicity 4)  4 W 2.88, 4 Ag 2.88
Ag1 0.0000 0.0000 0.5000 (multiplicity 4)  4 W 2.88, 4 Ag 2.88
Ag2 0.2500 0.2500 0.7500 (multiplicity 4)  4 Sc 2.88, 4 Ag 2.88
W1 0.2500 0.2500 0.2500 (multiplicity 4)  4 Sc 2.88, 4 Ag 2.88

=====

Entry 2:
First-principles (PBE) data for a relaxed structure of ErHfIrRh, as listed in Alexandria.

## Properties
* relative energy among the computed polymorphs: 29 meV per atom
* calculated formation energy: -0.90 eV/atom

Lattice parameters (Å, degrees): 6.6658 6.6658 6.6658 90.00 90.00 90.00
With the nearest neighbours (Å) after each atom.
Space group F-43m (No. 216)
Asymmetric unit:
Er1 0.0000 0.0000 0.0000 (multiplicity 4)  4 Ir 2.89, 4 Rh 2.89
Hf1 0.0000 0.0000 0.5000 (multiplicity 4)  4 Rh 2.89, 4 Ir 2.89
Ir1 0.2500 0.2500 0.2500 (multiplicity 4)  4 Hf 2.89, 4 Er 2.89
Rh1 0.2500 0.2500 0.7500 (multiplicity 4)  4 Hf 2.89, 4 Er 2.89

=====

Entry 3:
First-principles (PBE) data for a relaxed structure of Y3Er3Pu, as listed in Alexandria.

## Properties
* calculated formation energy: 0.19 eV/atom

Lattice parameters (Å, degrees): 6.1426 6.1426 41.8015 90.00 90.00 120.00
With the nearest neighbours (Å) after each atom.
Space group R-3 (No. 148, hexagonal axes)
Asymmetric unit:
Y1 0.0000 0.3321 0.1319 (multiplicity 18)  3 Er 3.49-3.50, 9 Y 3.53-3.56
Er1 0.9995 0.3334 0.2692 (multiplicity 18)  2 Pu 3.37, 3 Y 3.49-3.50, 6 Er 3.54-3.55
Pu1 0.0000 0.0000 0.3333 (multiplicity 6)  6 Er 3.37, 3 Pu 3.55

=====

Entry 4:
First-principles (PBE) data for a relaxed structure of KNaBe2F8, as listed in Alexandria.

## Properties
* calculated total energy: -54.9 eV/cell

Lattice parameters (Å, degrees): 5.3088 5.3088 7.9038 90.00 90.00 120.00
With the nearest neighbours (Å) after each atom.
Space group P-3 (No. 147)
Asymmetric unit:
K1 0.0000 0.0000 0.0000 (multiplicity 1)  12 F 2.87-3.08
Na1 0.0000 0.0000 0.5000 (multiplicity 1)  6 F 2.28
Be1 0.3333 0.6667 0.7670 (multiplicity 2)  4 F 1.54-1.56
F1 0.1409 0.3536 0.7012 (multiplicity 6)  1 Be 1.54
F2 0.3333 0.6667 0.9645 (multiplicity 2)  1 Be 1.56

=====

Entry 5:
First-principles (PBE) data for a relaxed structure of NiMoSe, as listed in Alexandria.

## Properties
* relative energy among the computed polymorphs: 154 meV per atom

Lattice parameters (Å, degrees): 5.7365 5.7365 5.7365 90.00 90.00 90.00
With the nearest neighbours (Å) after each atom.
Space group F-43m (No. 216)
Asymmetric unit:
Ni1 0.0000 0.0000 0.0000 (multiplicity 4)  4 Se 2.48
Mo1 0.0000 0.0000 0.5000 (multiplicity 4)  4 Se 2.48
Se1 0.2500 0.2500 0.2500 (multiplicity 4)  4 Mo 2.48, 4 Ni 2.48

=====

Entry 6:
First-principles (PBE) data for a relaxed structure of Cs3KMn2Cl8, as listed in Alexandria.

## Properties
* calculated total energy: -59.6 eV/cell

Lattice parameters (Å, degrees): 7.7860 7.7860 9.8662 90.00 90.00 120.00
With the nearest neighbours (Å) after each atom.
Space group P-3m1 (No. 164)
Asymmetric unit:
Cs1 0.0000 0.0000 0.0000 (multiplicity 1)  6 Cl 3.81
Cs2 0.3333 0.6667 0.6334 (multiplicity 2)  1 Cl 3.33
K1 0.0000 0.0000 0.5000 (multiplicity 1)  6 Cl 3.03
Mn1 0.3333 0.6667 0.2040 (multiplicity 2)  4 Cl 2.30-2.37
Cl1 0.1738 0.3477 0.3047 (multiplicity 6)  1 Mn 2.37
Cl2 0.3333 0.6667 0.9713 (multiplicity 2)  1 Mn 2.30

=====

Entry 7:
First-principles (PBE) data for a relaxed structure of SrRh3, as listed in Alexandria.

## Properties
* calculated formation energy: 0.17 eV/atom

Lattice parameters (Å, degrees): 6.2031 6.2031 4.6225 90.00 90.00 120.00
With the nearest neighbours (Å) after each atom.
Space group P6_3/mmc (No. 194)
Asymmetric unit:
Sr1 0.3333 0.6667 0.2500 (multiplicity 2)  12 Rh 3.10-3.11
Rh1 0.1411 0.2822 0.7500 (multiplicity 6)  6 Rh 2.63-2.76

=====

Entry 8:
First-principles (PBE) data for a relaxed structure of ZrTl3Br6, as listed in Alexandria.

## Properties
* calculated total energy: -71.8 eV/cell

Lattice parameters (Å, degrees): 7.7215 8.4105 13.5369 90.00 123.59 90.00
With the nearest neighbours (Å) after each atom.
Space group P2_1/c (No. 14)
Asymmetric unit:
Zr1 0.0000 0.0000 0.0000 (multiplicity 2)  6 Br 2.72
Tl1 0.2881 0.0881 0.7519 (multiplicity 4)  6 Br 3.32-3.57
Tl2 0.5000 0.0000 0.5000 (multiplicity 2)  6 Br 3.31-3.35
Br1 0.0922 0.0424 0.2233 (multiplicity 4)  1 Zr 2.72
Br2 0.2187 0.7234 0.0666 (multiplicity 4)  1 Zr 2.72
Br3 0.3479 0.1650 0.0581 (multiplicity 4)  1 Zr 2.72

=====

Entry 9:
First-principles (PBE) data for a relaxed structure of RbMg2B, as listed in Alexandria.

## Properties
* calculated formation energy: 0.32 eV/atom

Lattice parameters (Å, degrees): 4.6008 7.4433 7.5916 93.15 98.80 106.51
With the nearest neighbours (Å) after each atom.
Space group P1 (No. 1)
Asymmetric unit:
Rb1 0.0000 0.0000 0.0000 (multiplicity 1)  1 B 3.43, 1 Mg 3.80
Rb2 0.3591 0.8325 0.5005 (multiplicity 1)  2 B 3.37-3.71, 1 Mg 3.70
Mg1 0.0239 0.3206 0.5187 (multiplicity 1)  3 B 2.39-2.47
Mg2 0.2530 0.5409 0.9742 (multiplicity 1)  1 B 2.48
Mg3 0.6224 0.3862 0.7537 (multiplicity 1)  1 B 2.41
Mg4 0.7544 0.4135 0.1731 (multiplicity 1)  3 B 2.37-2.45
B1 0.2900 0.4174 0.2711 (multiplicity 1)  1 B 1.59
B2 0.5173 0.3742 0.4322 (multiplicity 1)  1 B 1.59

=====

Entry 10:
First-principles (PBE) data for a relaxed structure of BeNbCo4, as listed in Alexandria.

## Properties
* relative energy among the computed polymorphs: 52 meV per atom
* calculated formation energy: 0.02 eV/atom

Lattice parameters (Å, degrees): 15.5070 4.4976 4.1426 90.00 105.38 90.00
With the nearest neighbours (Å) after each atom.
Space group C2/c (No. 15)
Asymmetric unit:
Be1 0.2500 0.2500 0.0000 (multiplicity 4)  8 Co 2.21-2.37
Nb1 0.0000 0.2271 0.2500 (multiplicity 4)  8 Co 2.52-2.64
Co1 0.0985 0.3193 0.8487 (multiplicity 8)  1 Be 2.29, 4 Co 2.46-2.55, 1 Nb 2.52
Co2 0.1758 0.1760 0.4260 (multiplicity 8)  3 Be 2.21-2.37, 3 Co 2.32-2.46

=====

Entry 11:
First-principles (PBE) data for a relaxed structure of HfAl2V, as listed in Alexandria.

## Properties
* relative energy among the computed polymorphs: 217 meV per atom
* calculated formation energy: -0.04 eV/atom

Lattice parameters (Å, degrees): 2.9049 2.9049 28.1373 90.00 90.00 120.00
With the nearest neighbours (Å) after each atom.
Space group R-3m (No. 166, hexagonal axes)
Asymmetric unit:
Hf1 0.0000 0.0000 0.0000 (multiplicity 3)  6 Hf 2.90, 6 Al 3.04
Al1 0.0000 0.0000 0.2432 (multiplicity 6)  3 V 2.73, 6 Al 2.90, 3 Hf 3.04
V1 0.0000 0.0000 0.5000 (multiplicity 3)  6 Al 2.73, 6 V 2.90

=====

Entry 12:
First-principles (PBE) data for a relaxed structure of CsBe2IrRh, as listed in Alexandria.

## Properties
* calculated formation energy: 0.88 eV/atom

Lattice parameters (Å, degrees): 4.6377 4.6377 4.8740 90.00 90.00 90.00
With the nearest neighbours (Å) after each atom.
Space group P4/mmm (No. 123)
Asymmetric unit:
Cs1 0.0000 0.0000 0.0000 (multiplicity 1)  4 Ir 3.28, 8 Be 3.36
Be1 0.0000 0.5000 0.5000 (multiplicity 2)  2 Rh 2.32
Ir1 0.5000 0.5000 0.0000 (multiplicity 1)  2 Rh 2.44
Rh1 0.5000 0.5000 0.5000 (multiplicity 1)  4 Be 2.32, 2 Ir 2.44

=====

Entry 13:
First-principles (PBE) data for a relaxed structure of CaTbHoTm, as listed in Alexandria.

## Properties
* calculated formation energy: 0.17 eV/atom

Lattice parameters (Å, degrees): 8.0783 8.0783 8.0783 90.00 90.00 90.00
With the nearest neighbours (Å) after each atom.
Space group F-43m (No. 216)
Asymmetric unit:
Ca1 0.0000 0.0000 0.0000 (multiplicity 4)  4 Ho 3.50, 4 Tb 3.50
Tb1 0.2500 0.2500 0.7500 (multiplicity 4)  4 Ca 3.50, 4 Tm 3.50
Ho1 0.2500 0.2500 0.2500 (multiplicity 4)  4 Ca 3.50, 4 Tm 3.50
Tm1 0.0000 0.0000 0.5000 (multiplicity 4)  4 Tb 3.50, 4 Ho 3.50

=====

Entry 14:
First-principles (PBE) data for a relaxed structure of NaB2AsO6, as listed in Alexandria.

## Properties
* calculated total energy: -267.9 eV/cell

Lattice parameters (Å, degrees): 9.0358 8.8385 5.1011 90.00 110.29 90.00
With the nearest neighbours (Å) after each atom.
Space group C2/c (No. 15)
Asymmetric unit:
Na1 0.0000 0.0933 0.2500 (multiplicity 4)  6 O 2.22-2.33
B1 0.2072 0.4229 0.1437 (multiplicity 8)  4 O 1.46-1.59
As1 0.0000 0.2739 0.7500 (multiplicity 4)  4 O 1.74-1.83
O1 0.0919 0.3019 0.1079 (multiplicity 8)  1 B 1.46
O2 0.1309 0.1263 0.7030 (multiplicity 8)  1 B 1.47
O3 0.1739 0.4531 0.8207 (multiplicity 8)  2 B 1.51-1.59

=====

Entry 15:
First-principles (PBE) data for a relaxed structure of NpAs2Os, as listed in Alexandria.

## Properties
* calculated formation energy: 0.05 eV/atom

Lattice parameters (Å, degrees): 4.9403 4.9403 10.4975 90.00 90.00 120.00
With the nearest neighbours (Å) after each atom.
Space group R-3m (No. 166, hexagonal axes)
Asymmetric unit:
Np1 0.0000 0.0000 0.0000 (multiplicity 3)  8 As 2.76-2.95
As1 0.0000 0.0000 0.2628 (multiplicity 6)  1 Os 2.49, 1 Np 2.76
Os1 0.0000 0.0000 0.5000 (multiplicity 3)  2 As 2.49

=====

Entry 16:
First-principles (PBE) data for a relaxed structure of BeCdSn, as listed in Alexandria.

## Properties
* calculated formation energy: 0.26 eV/atom

Lattice parameters (Å, degrees): 3.8724 3.7967 8.2325 90.00 103.39 90.00
With the nearest neighbours (Å) after each atom.
Space group Pm (No. 6)
Asymmetric unit:
Be1 0.0000 0.0000 0.0000 (multiplicity 1)  2 Be 2.27
Be2 0.0773 0.5000 0.1544 (multiplicity 1)  2 Be 2.27
Cd1 0.2396 0.5000 0.4810 (multiplicity 1)  1 Be 2.62
Cd2 0.4542 0.5000 0.9112 (multiplicity 1)  6 Be 2.74-2.81
Sn1 0.6139 0.0000 0.2306 (multiplicity 1)  6 Be 2.67-2.78
Sn2 0.8374 0.0000 0.6785 (multiplicity 1)  1 Be 2.57

=====

Entry 17:
First-principles (PBE) data for a relaxed structure of ErCdIrPd, as listed in Alexandria.

## Properties
* calculated formation energy: -0.57 eV/atom

Lattice parameters (Å, degrees): 6.6808 6.6808 6.6808 90.00 90.00 90.00
With the nearest neighbours (Å) after each atom.
Space group F-43m (No. 216)
Asymmetric unit:
Er1 0.0000 0.0000 0.0000 (multiplicity 4)  4 Pd 2.89, 4 Ir 2.89
Cd1 0.0000 0.0000 0.5000 (multiplicity 4)  4 Ir 2.89, 4 Pd 2.89
Ir1 0.2500 0.2500 0.2500 (multiplicity 4)  4 Cd 2.89, 4 Er 2.89
Pd1 0.2500 0.2500 0.7500 (multiplicity 4)  4 Cd 2.89, 4 Er 2.89

=====

Entry 18:
First-principles (PBE) data for a relaxed structure of Zr2Pd9Pb, as listed in Alexandria.

## Properties
* calculated formation energy: -0.64 eV/atom

Lattice parameters (Å, degrees): 4.0534 4.0534 12.2281 90.00 90.00 90.00
With the nearest neighbours (Å) after each atom.
Space group P4/mmm (No. 123)
Asymmetric unit:
Zr1 0.0000 0.0000 0.1653 (multiplicity 2)  12 Pd 2.81-2.87
Pd1 0.0000 0.5000 0.0000 (multiplicity 2)  8 Pd 2.85-2.87, 4 Zr 2.86
Pd2 0.0000 0.5000 0.3250 (multiplicity 4)  2 Zr 2.81, 8 Pd 2.83-2.95, 2 Pb 2.95
Pd3 0.5000 0.5000 0.1637 (multiplicity 2)  8 Pd 2.83-2.85, 4 Zr 2.87
Pd4 0.5000 0.5000 0.5000 (multiplicity 1)  4 Pb 2.87, 8 Pd 2.95
Pb1 0.0000 0.0000 0.5000 (multiplicity 1)  12 Pd 2.87-2.95

=====

Entry 19:
First-principles (PBE) data for a relaxed structure of Rb8AuI4Cl3, as listed in Alexandria.

## Properties
* calculated total energy: -140.1 eV/cell

Lattice parameters (Å, degrees): 10.1190 10.1190 24.6764 90.00 90.00 120.00
With the nearest neighbours (Å) after each atom.
Space group R-3m (No. 166, hexagonal axes)
Asymmetric unit:
Rb1 0.0000 0.0000 0.2417 (multiplicity 6)  3 Cl 3.46, 3 I 3.69
Rb2 0.0085 0.5042 0.7571 (multiplicity 18)  2 Cl 3.44, 1 Au 3.54, 3 I 3.62-3.71
Au1 0.0000 0.0000 0.5000 (multiplicity 3)  6 Rb 3.54
I1 0.0000 0.0000 0.0000 (multiplicity 3)  6 Rb 3.62
I2 0.0000 0.5000 0.0000 (multiplicity 9)  6 Rb 3.69-3.71
Cl1 0.0000 0.5000 0.5000 (multiplicity 9)  6 Rb 3.44-3.46

=====

Entry 20:
First-principles (PBE) data for a relaxed structure of Hg3Pd3Au2, as listed in Alexandria.

## Properties
* calculated formation energy: -0.10 eV/atom

Lattice parameters (Å, degrees): 3.6570 4.4256 17.9158 90.00 90.00 90.00
With the nearest neighbours (Å) after each atom.
Space group Immm (No. 71)
Asymmetric unit:
Hg1 0.0000 0.0000 0.0000 (multiplicity 2)  8 Pd 2.86-2.87, 4 Hg 3.15
Hg2 0.0000 0.5000 0.1251 (multiplicity 4)  6 Pd 2.87-2.89, 4 Au 2.90-3.14, 2 Hg 3.15
Pd1 0.0000 0.0000 0.5000 (multiplicity 2)  8 Hg 2.87-2.89, 4 Pd 3.12
Pd2 0.0000 0.5000 0.3776 (multiplicity 4)  6 Hg 2.86-2.87, 4 Au 2.92-3.19, 2 Pd 3.12
Au1 0.0000 0.0000 0.2494 (multiplicity 4)  4 Au 2.87, 4 Hg 2.90-3.14, 4 Pd 2.92-3.19

=====

Entry 21:
First-principles (PBE) data for a relaxed structure of Cr3Fe, as listed in Alexandria.

## Properties
* calculated formation energy: 0.24 eV/atom

Lattice parameters (Å, degrees): 3.5716 3.5716 3.5716 90.00 90.00 90.00
With the nearest neighbours (Å) after each atom.
Space group Pm-3m (No. 221)
Asymmetric unit:
Cr1 0.0000 0.0000 0.5000 (multiplicity 3)  8 Cr 2.53, 4 Fe 2.53
Fe1 0.5000 0.5000 0.5000 (multiplicity 1)  12 Cr 2.53

=====

Entry 22:
First-principles (PBE) data for a relaxed structure of Sm4AlTlZn2, as listed in Alexandria.

## Properties
* calculated formation energy: -0.34 eV/atom

Lattice parameters (Å, degrees): 5.2571 5.2571 25.8602 90.00 90.00 120.00
With the nearest neighbours (Å) after each atom.
Space group R-3m (No. 166, hexagonal axes)
Asymmetric unit:
Sm1 0.0000 0.0000 0.1214 (multiplicity 6)  1 Al 3.14, 4 Zn 3.20-3.36, 3 Tl 3.25
Sm2 0.0000 0.0000 0.3715 (multiplicity 6)  4 Zn 3.11-3.24, 3 Al 3.19, 1 Tl 3.32
Al1 0.0000 0.0000 0.0000 (multiplicity 3)  8 Sm 3.14-3.19
Tl1 0.0000 0.0000 0.5000 (multiplicity 3)  8 Sm 3.25-3.32
Zn1 0.0000 0.0000 0.2513 (multiplicity 6)  8 Sm 3.11-3.36

=====

Entry 23:
First-principles (PBE) data for a relaxed structure of LiZr3N4, as listed in Alexandria.

## Properties
* calculated total energy: -145.6 eV/cell

Lattice parameters (Å, degrees): 4.5471 4.5471 9.1306 90.00 90.00 90.00
With the nearest neighbours (Å) after each atom.
Space group I4/mmm (No. 139)
Asymmetric unit:
Li1 0.0000 0.0000 0.0000 (multiplicity 2)  6 N 2.27-2.36
Zr1 0.0000 0.0000 0.5000 (multiplicity 2)  6 N 2.21-2.27
Zr2 0.0000 0.5000 0.2500 (multiplicity 4)  6 N 2.27-2.28
N1 0.0000 0.0000 0.2582 (multiplicity 4)  5 Zr 2.21-2.27, 1 Li 2.36
N2 0.0000 0.5000 0.0000 (multiplicity 4)  4 Zr 2.27-2.28, 2 Li 2.27